LiIn2Ru | Alexandria via LeMat-Bulk | PBE | relaxed; calculated volume = 17.51 Å³/atom; space-group type = Imm2; N(E_F) = 0.87 states/eV per cell; E above lowest polymorph = 6.57 kJ/mol of atoms; calculated total energy = -4.25 eV per atom
1.0
5.473 0.002 0.003
2.668 4.779 -0.003
-3.715 -2.995 2.679
In Li Ru
2 1 1
Direct
0.748 0.248 0.500
0.014 0.014 0.000
0.484 0.484 0.000
0.254 0.754 0.500